one) Crystalline TaNbZn2 at its relaxed geometry, computed with PBE.

Cell and atoms, written as POSCAR:
```
TaNbZn2
1.0
2.846 0.000 0.000
0.000 2.846 0.000
0.000 0.000 7.995
Ta Nb Zn
1 1 2
Direct
0.000 0.000 0.000
0.000 0.000 0.500
0.500 0.500 0.249
0.500 0.500 0.751
```

Computed properties:
Its calculated volume is 64.8 Å³/f.u. The calculation puts the density of states at the Fermi level at 1.8 states/eV/cell.

***

two) Crystalline TaNbZn2 at its relaxed geometry, computed with PBE.

Cell and atoms, written as POSCAR:
```
TaNbZn2
1.0
6.377 0.000 0.000
0.000 6.377 0.000
0.000 0.000 6.377
Ta Nb Zn
4 4 8
Direct
0.000 0.000 0.000
0.000 0.500 0.500
0.500 0.000 0.500
0.500 0.500 0.000
0.000 0.000 0.500
0.000 0.500 0.000
0.500 0.000 0.000
0.500 0.500 0.500
0.250 0.250 0.250
0.250 0.250 0.750
0.250 0.750 0.250
0.250 0.750 0.750
0.750 0.250 0.250
0.750 0.250 0.750
0.750 0.750 0.250
0.750 0.750 0.750
```

Computed properties:
Its calculated volume is 64.8 Å³/f.u. The calculation puts the density of states at the Fermi level at 14.3 states/eV/cell.

***

three) Crystalline TaNbZn2 at its relaxed geometry, computed with PBE.

Cell and atoms, written as POSCAR:
```
TaNbZn2
1.0
3.000 0.000 0.000
0.000 4.745 0.000
0.000 0.000 9.191
Ta Nb Zn
2 2 4
Direct
0.000 0.000 0.000
0.500 0.500 0.500
0.000 0.500 0.764
0.500 0.000 0.264
0.000 0.000 0.522
0.000 0.500 0.243
0.500 0.000 0.743
0.500 0.500 0.022
```

Computed properties:
Its calculated volume is 65.4 Å³/f.u. The calculation puts the density of states at the Fermi level at 4.5 states/eV/cell.

***

four) Crystalline TaNbZn2 at its relaxed geometry, computed with PBE.

Cell and atoms, written as POSCAR:
```
TaNbZn2
1.0
7.215 0.000 0.000
0.000 7.215 0.000
0.000 0.000 5.345
Ta Nb Zn
4 4 8
Direct
0.000 0.000 0.000
0.000 0.500 0.250
0.500 0.000 0.750
0.500 0.500 0.500
0.000 0.000 0.500
0.000 0.500 0.750
0.500 0.000 0.250
0.500 0.500 0.000
0.250 0.250 0.125
0.250 0.250 0.625
0.250 0.750 0.375
0.250 0.750 0.875
0.750 0.250 0.375
0.750 0.250 0.875
0.750 0.750 0.125
0.750 0.750 0.625
```

Computed properties:
Its calculated volume is 69.6 Å³/f.u. The calculation puts the density of states at the Fermi level at 5.8 states/eV/cell.

***

Which one is most stable, and which one is least stable? one) is the most stable of them, while four) is the least stable.

***

one) Crystalline TaNb3Zn at its relaxed geometry, computed with PBE.

Cell and atoms, written as POSCAR:
```
TaNb3Zn
1.0
4.688 0.000 0.000
0.000 4.688 0.000
0.000 0.000 4.688
Ta Nb Zn
1 3 1
Direct
0.000 0.000 0.000
0.000 0.500 0.500
0.500 0.000 0.500
0.500 0.500 0.000
0.500 0.500 0.500
```

Computed properties:
Its calculated volume is 103.0 Å³/f.u. The calculation puts the density of states at the Fermi level at 5.4 states/eV/cell.

***

two) Crystalline TaNb3Zn at its relaxed geometry, computed with PBE.

Cell and atoms, written as POSCAR:
```
TaNb3Zn
1.0
4.896 0.000 0.000
0.000 4.896 0.000
0.000 0.000 4.896
Ta Nb Zn
1 3 1
Direct
0.000 0.000 0.000
0.000 0.000 0.500
0.000 0.500 0.000
0.500 0.000 0.000
0.500 0.500 0.500
```

Computed properties:
Its calculated volume is 117.4 Å³/f.u. The calculation puts the density of states at the Fermi level at 6.2 states/eV/cell.

***

Which one is most stable, and which one is least stable? one) is the most stable of them, while two) is the least stable.

***

one) Crystalline ZrTa4Nb at its relaxed geometry, computed with PBE.

Cell and atoms, written as POSCAR:
```
ZrTa4Nb
1.0
0.000 3.894 3.894
3.894 0.000 3.894
3.894 3.894 0.000
Zr Ta Nb
1 4 1
Direct
0.000 0.000 0.000
0.375 0.375 0.375
0.375 0.375 0.875
0.375 0.875 0.375
0.875 0.375 0.375
0.750 0.750 0.750
```

Computed properties:
Its calculated volume is 118.1 Å³/f.u. The calculation puts the density of states at the Fermi level at 10.4 states/eV/cell.

***

two) Crystalline ZrTa4Nb at its relaxed geometry, computed with PBE.

Cell and atoms, written as POSCAR:
```
ZrTa4Nb
1.0
8.205 0.000 0.000
0.000 4.751 0.000
-0.001 0.000 5.819
Zr Ta Nb
2 8 2
Direct
0.000 0.000 0.000
0.500 0.500 0.000
0.167 0.500 0.165
0.167 0.500 0.660
0.333 0.000 0.340
0.333 0.000 0.835
0.667 0.000 0.165
0.667 0.000 0.660
0.833 0.500 0.340
0.833 0.500 0.835
0.000 0.000 0.500
0.500 0.500 0.500
```

Computed properties:
Its calculated volume is 113.4 Å³/f.u. The calculation puts the density of states at the Fermi level at 19.9 states/eV/cell.

***

Which one is most stable, and which one is least stable? two) is the most stable of them, while one) is the least stable.

***

one) Crystalline NbTcTe2 at its relaxed geometry, computed with PBE.

Cell and atoms, written as POSCAR:
```
NbTcTe2
1.0
3.257 0.000 0.000
-1.629 2.821 0.000
0.000 0.000 28.246
Nb Tc Te
3 3 6
Direct
0.000 0.000 0.000
0.333 0.667 0.667
0.667 0.333 0.333
0.000 0.000 0.500
0.333 0.667 0.167
0.667 0.333 0.833
0.000 0.000 0.098
0.000 0.000 0.902
0.333 0.667 0.569
0.333 0.667 0.764
0.667 0.333 0.236
0.667 0.333 0.431
```

Computed properties:
Its calculated volume is 86.5 Å³/f.u. The calculation puts the density of states at the Fermi level at 12.8 states/eV/cell.

***

two) Crystalline NbTcTe2 at its relaxed geometry, computed with PBE.

Cell and atoms, written as POSCAR:
```
NbTcTe2
1.0
6.731 0.000 0.000
0.000 6.731 0.000
0.000 0.000 6.731
Nb Tc Te
4 4 8
Direct
0.000 0.000 0.000
0.000 0.500 0.500
0.500 0.000 0.500
0.500 0.500 0.000
0.000 0.000 0.500
0.000 0.500 0.000
0.500 0.000 0.000
0.500 0.500 0.500
0.250 0.250 0.250
0.250 0.250 0.750
0.250 0.750 0.250
0.250 0.750 0.750
0.750 0.250 0.250
0.750 0.250 0.750
0.750 0.750 0.250
0.750 0.750 0.750
```

Computed properties:
Its calculated volume is 76.2 Å³/f.u. The calculation puts the density of states at the Fermi level at 14.3 states/eV/cell.

***

three) Crystalline NbTcTe2 at its relaxed geometry, computed with PBE.

Cell and atoms, written as POSCAR:
```
NbTcTe2
1.0
3.341 0.000 0.000
-1.671 2.894 0.000
0.000 0.000 27.504
Nb Tc Te
3 3 6
Direct
0.000 0.000 0.000
0.333 0.667 0.667
0.667 0.333 0.333
0.000 0.000 0.500
0.333 0.667 0.167
0.667 0.333 0.833
0.000 0.000 0.407
0.000 0.000 0.593
0.333 0.667 0.074
0.333 0.667 0.260
0.667 0.333 0.740
0.667 0.333 0.926
```

Computed properties:
Its calculated volume is 88.6 Å³/f.u. The calculation puts the density of states at the Fermi level at 11.6 states/eV/cell.

***

four) Crystalline NbTcTe2 at its relaxed geometry, computed with PBE.

Cell and atoms, written as POSCAR:
```
NbTcTe2
1.0
4.669 0.000 0.000
0.000 4.669 0.000
0.000 0.000 16.985
Nb Tc Te
4 4 8
Direct
0.000 0.000 0.000
0.000 0.500 0.250
0.500 0.000 0.750
0.500 0.500 0.500
0.000 0.000 0.500
0.000 0.500 0.750
0.500 0.000 0.250
0.500 0.500 0.000
0.236 0.250 0.625
0.250 0.736 0.875
0.250 0.764 0.375
0.264 0.250 0.125
0.736 0.750 0.125
0.750 0.236 0.375
0.750 0.264 0.875
0.764 0.750 0.625
```

Computed properties:
Its calculated volume is 92.6 Å³/f.u. The calculation puts the density of states at the Fermi level at 20.2 states/eV/cell.

***

Which one is most stable, and which one is least stable? two) is the most stable of them, while four) is the least stable.

***

one) Crystalline Nb2Tc2Te at its relaxed geometry, computed with PBE.

Cell and atoms, written as POSCAR:
```
Nb2Tc2Te
1.0
4.301 0.000 0.000
0.000 4.301 0.000
0.000 0.000 10.899
Nb Tc Te
4 4 2
Direct
0.000 0.500 0.250
0.000 0.500 0.750
0.500 0.000 0.250
0.500 0.000 0.750
0.000 0.000 0.116
0.000 0.000 0.884
0.500 0.500 0.384
0.500 0.500 0.616
0.000 0.000 0.500
0.500 0.500 0.000
```

Computed properties:
Its calculated volume is 100.8 Å³/f.u. The calculation puts the density of states at the Fermi level at 6.6 states/eV/cell.

***

two) Crystalline Nb2Tc2Te at its relaxed geometry, computed with PBE.

Cell and atoms, written as POSCAR:
```
Nb2Tc2Te
1.0
7.647 0.000 0.000
0.000 7.647 0.000
0.000 0.000 3.143
Nb Tc Te
4 4 2
Direct
0.150 0.350 0.000
0.350 0.850 0.000
0.650 0.150 0.000
0.850 0.650 0.000
0.136 0.636 0.500
0.364 0.136 0.500
0.636 0.864 0.500
0.864 0.364 0.500
0.000 0.000 0.500
0.500 0.500 0.500
```

Computed properties:
Its calculated volume is 91.9 Å³/f.u. The calculation puts the density of states at the Fermi level at 10.3 states/eV/cell.

***

Which one is most stable, and which one is least stable? two) is the most stable of them, while one) is the least stable.

***

one) Crystalline Ti2NbTc2 at its relaxed geometry, computed with PBE.

Cell and atoms, written as POSCAR:
```
Ti2NbTc2
1.0
7.202 0.000 0.000
0.000 7.202 0.000
0.000 0.000 3.176
Ti Nb Tc
4 2 4
Direct
0.152 0.348 0.000
0.348 0.848 0.000
0.652 0.152 0.000
0.848 0.652 0.000
0.000 0.000 0.500
0.500 0.500 0.500
0.151 0.651 0.500
0.349 0.151 0.500
0.651 0.849 0.500
0.849 0.349 0.500
```

Computed properties:
Its calculated volume is 82.4 Å³/f.u. The calculation puts the density of states at the Fermi level at 14.2 states/eV/cell.

***

two) Crystalline Ti2NbTc2 at its relaxed geometry, computed with PBE.

Cell and atoms, written as POSCAR:
```
Ti2NbTc2
1.0
3.157 0.000 0.000
0.000 4.513 0.000
-1.589 0.000 11.107
Ti Nb Tc
4 2 4
Direct
0.048 0.250 0.096
0.242 0.250 0.485
0.758 0.750 0.515
0.952 0.750 0.904
0.146 0.750 0.292
0.854 0.250 0.708
0.350 0.750 0.701
0.451 0.250 0.902
0.549 0.750 0.098
0.650 0.250 0.299
```

Computed properties:
Its calculated volume is 79.1 Å³/f.u. The calculation puts the density of states at the Fermi level at 7.7 states/eV/cell.

***

Which one is most stable, and which one is least stable? two) is the most stable of them, while one) is the least stable.

***

one) Crystalline TiNb2Tc at its relaxed geometry, computed with PBE.

Cell and atoms, written as POSCAR:
```
TiNb2Tc
1.0
4.553 0.000 0.000
0.000 7.943 0.000
0.000 0.000 7.968
Ti Nb Tc
4 8 4
Direct
0.000 0.001 0.250
0.000 0.999 0.750
0.500 0.499 0.750
0.500 0.501 0.250
0.000 0.334 0.071
0.000 0.334 0.429
0.000 0.666 0.571
0.000 0.666 0.929
0.500 0.166 0.571
0.500 0.166 0.929
0.500 0.834 0.071
0.500 0.834 0.429
0.000 0.333 0.750
0.000 0.667 0.250
0.500 0.167 0.250
0.500 0.833 0.750
```

Computed properties:
Its calculated volume is 72.0 Å³/f.u. The calculation puts the density of states at the Fermi level at 20.9 states/eV/cell.

***

two) Crystalline TiNb2Tc at its relaxed geometry, computed with PBE.

Cell and atoms, written as POSCAR:
```
TiNb2Tc
1.0
6.437 0.000 0.000
0.000 6.437 0.000
0.000 0.000 6.437
Ti Nb Tc
4 8 4
Direct
0.000 0.000 0.000
0.000 0.500 0.500
0.500 0.000 0.500
0.500 0.500 0.000
0.250 0.250 0.250
0.250 0.250 0.750
0.250 0.750 0.250
0.250 0.750 0.750
0.750 0.250 0.250
0.750 0.250 0.750
0.750 0.750 0.250
0.750 0.750 0.750
0.000 0.000 0.500
0.000 0.500 0.000
0.500 0.000 0.000
0.500 0.500 0.500
```

Computed properties:
Its calculated volume is 66.7 Å³/f.u. The calculation puts the density of states at the Fermi level at 21.7 states/eV/cell.

***

Which one is most stable, and which one is least stable? two) is the most stable of them, while one) is the least stable.

***

one) Crystalline TiNb2Tc at its relaxed geometry, computed with PBE.

Cell and atoms, written as POSCAR:
```
TiNb2Tc
1.0
7.257 0.000 0.000
0.000 7.257 0.000
0.000 0.000 5.500
Ti Nb Tc
4 8 4
Direct
0.000 0.000 0.000
0.000 0.500 0.250
0.500 0.000 0.750
0.500 0.500 0.500
0.226 0.250 0.625
0.250 0.726 0.875
0.250 0.774 0.375
0.274 0.250 0.125
0.726 0.750 0.125
0.750 0.226 0.375
0.750 0.274 0.875
0.774 0.750 0.625
0.000 0.000 0.500
0.000 0.500 0.750
0.500 0.000 0.250
0.500 0.500 0.000
```

Computed properties:
Its calculated volume is 72.4 Å³/f.u. The calculation puts the density of states at the Fermi level at 11.2 states/eV/cell.

***

two) Crystalline TiNb2Tc at its relaxed geometry, computed with PBE.

Cell and atoms, written as POSCAR:
```
TiNb2Tc
1.0
4.552 0.000 0.000
0.000 4.552 0.000
0.000 0.000 3.216
Ti Nb Tc
1 2 1
Direct
0.000 0.000 0.000
0.000 0.500 0.500
0.500 0.000 0.500
0.500 0.500 0.000
```

Computed properties:
Its calculated volume is 66.6 Å³/f.u. The calculation puts the density of states at the Fermi level at 6.7 states/eV/cell.

***

Which one is most stable, and which one is least stable? two) is the most stable of them, while one) is the least stable.

***

one) Crystalline TiNb2Tc at its relaxed geometry, computed with PBE.

Cell and atoms, written as POSCAR:
```
TiNb2Tc
1.0
3.216 0.000 0.000
0.000 4.461 0.000
0.000 0.000 9.331
Ti Nb Tc
2 4 2
Direct
0.000 0.000 0.000
0.500 0.500 0.500
0.000 0.500 0.239
0.000 0.500 0.761
0.500 0.000 0.261
0.500 0.000 0.739
0.000 0.000 0.500
0.500 0.500 0.000
```

Computed properties:
Its calculated volume is 66.9 Å³/f.u. The calculation puts the density of states at the Fermi level at 6.8 states/eV/cell.

***

two) Crystalline TiNb2Tc at its relaxed geometry, computed with PBE.

Cell and atoms, written as POSCAR:
```
TiNb2Tc
1.0
3.185 0.000 0.000
0.000 3.185 0.000
0.000 0.000 6.637
Ti Nb Tc
1 2 1
Direct
0.000 0.000 0.000
0.500 0.500 0.261
0.500 0.500 0.739
0.000 0.000 0.500
```

Computed properties:
Its calculated volume is 67.3 Å³/f.u. The calculation puts the density of states at the Fermi level at 4.6 states/eV/cell.

***

Which one is most stable, and which one is least stable? one) is the most stable of them, while two) is the least stable.

***

one) Crystalline Ti2NbTc3 at its relaxed geometry, computed with PBE.

Cell and atoms, written as POSCAR:
```
Ti2NbTc3
1.0
3.136 0.000 0.000
0.000 3.136 0.000
0.000 0.000 9.413
Ti Nb Tc
2 1 3
Direct
0.000 0.000 0.163
0.000 0.000 0.837
0.000 0.000 0.500
0.500 0.500 0.000
0.500 0.500 0.330
0.500 0.500 0.670
```

Computed properties:
Its calculated volume is 92.6 Å³/f.u. The calculation puts the density of states at the Fermi level at 5.3 states/eV/cell.

***

two) Crystalline Ti2NbTc3 at its relaxed geometry, computed with PBE.

Cell and atoms, written as POSCAR:
```
Ti2NbTc3
1.0
2.218 -6.654 0.000
2.218 6.654 0.000
0.000 0.000 6.269
Ti Nb Tc
4 2 6
Direct
0.000 0.000 0.000
0.000 0.000 0.500
0.334 0.666 0.000
0.666 0.334 0.000
0.335 0.665 0.500
0.665 0.335 0.500
0.166 0.834 0.247
0.166 0.834 0.753
0.500 0.500 0.248
0.500 0.500 0.752
0.834 0.166 0.247
0.834 0.166 0.753
```

Computed properties:
Its calculated volume is 92.5 Å³/f.u. The calculation puts the density of states at the Fermi level at 9.6 states/eV/cell.

***

Which one is most stable, and which one is least stable? two) is the most stable of them, while one) is the least stable.

***

one) Crystalline Ti3NbTc at its relaxed geometry, computed with PBE.

Cell and atoms, written as POSCAR:
```
Ti3NbTc
1.0
4.327 0.000 0.000
0.000 6.823 0.000
0.000 0.000 5.891
Ti Nb Tc
6 2 2
Direct
0.250 0.059 0.211
0.250 0.250 0.729
0.250 0.441 0.211
0.750 0.559 0.789
0.750 0.750 0.271
0.750 0.941 0.789
0.250 0.750 0.531
0.750 0.250 0.469
0.250 0.750 0.006
0.750 0.250 0.994
```

Computed properties:
Its calculated volume is 86.9 Å³/f.u. The calculation puts the density of states at the Fermi level at 11.2 states/eV/cell.

***

two) Crystalline Ti3NbTc at its relaxed geometry, computed with PBE.

Cell and atoms, written as POSCAR:
```
Ti3NbTc
1.0
4.629 0.000 0.000
0.000 4.629 0.000
0.000 0.000 4.629
Ti Nb Tc
3 1 1
Direct
0.000 0.000 0.500
0.000 0.500 0.000
0.500 0.000 0.000
0.500 0.500 0.500
0.000 0.000 0.000
```

Computed properties:
Its calculated volume is 99.2 Å³/f.u. The calculation puts the density of states at the Fermi level at 6.0 states/eV/cell.

***

Which one is most stable, and which one is least stable? one) is the most stable of them, while two) is the least stable.